A relaxed Na2PaPt3O12 crystal, computed with PBE.

The structure in CIF format:
```
data_Na2PaPt3O12
_cell_length_a 7.707
_cell_length_b 7.707
_cell_length_c 7.707
_cell_angle_alpha 56.06
_cell_angle_beta 56.06
_cell_angle_gamma 56.06
_symmetry_space_group_name_H-M 'P 1'
_symmetry_Int_Tables_number 1
_symmetry_space_group_name_Hall 'P 1'
loop_
_atom_site_label
_atom_site_type_symbol
_atom_site_fract_x
_atom_site_fract_y
_atom_site_fract_z
Na1 Na 0.703 0.703 0.703
Na2 Na 0.297 0.297 0.297
Pa1 Pa 0.000 0.000 0.000
Pt1 Pt 0.500 0.000 0.000
Pt2 Pt 0.000 0.500 0.000
Pt3 Pt 0.000 0.000 0.500
O1 O 0.322 0.322 0.925
O2 O 0.929 0.929 0.340
O3 O 0.340 0.929 0.929
O4 O 0.925 0.322 0.322
O5 O 0.929 0.340 0.929
O6 O 0.322 0.925 0.322
O7 O 0.678 0.678 0.075
O8 O 0.071 0.071 0.660
O9 O 0.660 0.071 0.071
O10 O 0.075 0.678 0.678
O11 O 0.071 0.660 0.071
O12 O 0.678 0.075 0.678
```

Properties
Space group: R-3m (166)

A relaxed Na2PaPtO4 crystal, computed with PBE.

The structure in CIF format:
```
data_Na2PaPtO4
_cell_length_a 5.356
_cell_length_b 5.356
_cell_length_c 5.356
_cell_angle_alpha 104.84
_cell_angle_beta 111.83
_cell_angle_gamma 111.83
_symmetry_space_group_name_H-M 'P 1'
_symmetry_Int_Tables_number 1
_symmetry_space_group_name_Hall 'P 1'
loop_
_atom_site_label
_atom_site_type_symbol
_atom_site_fract_x
_atom_site_fract_y
_atom_site_fract_z
Na1 Na 0.500 0.750 0.250
Na2 Na 0.000 0.000 0.000
Pa1 Pa 0.500 0.250 0.750
Pt1 Pt 0.000 0.500 0.500
O1 O 0.513 0.221 0.351
O2 O 0.131 0.293 0.779
O3 O 0.869 0.649 0.162
O4 O 0.487 0.838 0.707
```

Properties
Space group: I-4 (82)

A relaxed NaPaPtO6 crystal, computed with PBE.

The structure in CIF format:
```
data_NaPaPtO6
_cell_length_a 5.565
_cell_length_b 5.565
_cell_length_c 9.991
_cell_angle_alpha 90.00
_cell_angle_beta 90.00
_cell_angle_gamma 120.00
_symmetry_space_group_name_H-M 'P 1'
_symmetry_Int_Tables_number 1
_symmetry_space_group_name_Hall 'P 1'
loop_
_atom_site_label
_atom_site_type_symbol
_atom_site_fract_x
_atom_site_fract_y
_atom_site_fract_z
Na1 Na 0.000 0.000 0.000
Na2 Na 0.000 0.000 0.500
Pa1 Pa 0.333 0.667 0.250
Pa2 Pa 0.667 0.333 0.750
Pt1 Pt 0.667 0.333 0.250
Pt2 Pt 0.333 0.667 0.750
O1 O 0.646 0.623 0.142
O2 O 0.977 0.354 0.142
O3 O 0.354 0.977 0.642
O4 O 0.023 0.646 0.858
O5 O 0.377 0.354 0.358
O6 O 0.977 0.623 0.358
O7 O 0.623 0.977 0.858
O8 O 0.646 0.023 0.358
O9 O 0.023 0.377 0.642
O10 O 0.377 0.023 0.142
O11 O 0.623 0.646 0.642
O12 O 0.354 0.377 0.858
```

Properties
Space group: P-31c (163)

A relaxed NaPaPt2O8 crystal, computed with PBE.

The structure in CIF format:
```
data_NaPaPt2O8
_cell_length_a 6.130
_cell_length_b 6.130
_cell_length_c 6.130
_cell_angle_alpha 108.13
_cell_angle_beta 108.13
_cell_angle_gamma 112.19
_symmetry_space_group_name_H-M 'P 1'
_symmetry_Int_Tables_number 1
_symmetry_space_group_name_Hall 'P 1'
loop_
_atom_site_label
_atom_site_type_symbol
_atom_site_fract_x
_atom_site_fract_y
_atom_site_fract_z
Na1 Na 0.250 0.750 0.500
Pa1 Pa 0.000 0.000 0.000
Pt1 Pt 0.750 0.250 0.500
Pt2 Pt 0.500 0.500 0.000
O1 O 0.366 0.053 0.314
O2 O 0.283 0.451 0.168
O3 O 0.283 0.115 0.832
O4 O 0.739 0.053 0.686
O5 O 0.885 0.717 0.168
O6 O 0.947 0.261 0.314
O7 O 0.947 0.634 0.686
O8 O 0.549 0.717 0.832
```

Properties
Space group: I-4m2 (119)

A relaxed NaPu2PaO8 crystal, computed with PBE.

The structure in CIF format:
```
data_NaPu2PaO8
_cell_length_a 5.337
_cell_length_b 5.337
_cell_length_c 6.510
_cell_angle_alpha 114.20
_cell_angle_beta 114.20
_cell_angle_gamma 90.00
_symmetry_space_group_name_H-M 'P 1'
_symmetry_Int_Tables_number 1
_symmetry_space_group_name_Hall 'P 1'
loop_
_atom_site_label
_atom_site_type_symbol
_atom_site_fract_x
_atom_site_fract_y
_atom_site_fract_z
Na1 Na 0.750 0.250 0.500
Pu1 Pu 0.500 0.500 0.000
Pu2 Pu 0.250 0.750 0.500
Pa1 Pa 0.000 0.000 0.000
O1 O 0.881 0.857 0.241
O2 O 0.360 0.383 0.241
O3 O 0.617 0.640 0.759
O4 O 0.143 0.119 0.759
O5 O 0.881 0.383 0.241
O6 O 0.360 0.857 0.241
O7 O 0.143 0.640 0.759
O8 O 0.617 0.119 0.759
```

Properties
Space group: I-4m2 (119)

A relaxed Na2PuPaO8 crystal, computed with PBE.

The structure in CIF format:
```
data_Na2PuPaO8
_cell_length_a 5.092
_cell_length_b 5.114
_cell_length_c 7.052
_cell_angle_alpha 90.00
_cell_angle_beta 90.00
_cell_angle_gamma 93.08
_symmetry_space_group_name_H-M 'P 1'
_symmetry_Int_Tables_number 1
_symmetry_space_group_name_Hall 'P 1'
loop_
_atom_site_label
_atom_site_type_symbol
_atom_site_fract_x
_atom_site_fract_y
_atom_site_fract_z
Na1 Na 0.500 0.500 0.752
Na2 Na 0.500 0.500 0.248
Pu1 Pu 0.000 0.000 0.000
Pa1 Pa 0.000 0.000 0.500
O1 O 0.171 0.828 0.228
O2 O 0.736 0.738 0.000
O3 O 0.829 0.172 0.228
O4 O 0.829 0.172 0.772
O5 O 0.264 0.262 0.000
O6 O 0.171 0.828 0.772
O7 O 0.723 0.725 0.500
O8 O 0.277 0.275 0.500
```

Properties
Space group: P2/m (10)

A relaxed Rb2Na2PaO4 crystal, computed with PBE.

The structure in CIF format:
```
data_Rb2Na2PaO4
_cell_length_a 3.638
_cell_length_b 7.855
_cell_length_c 6.974
_cell_angle_alpha 84.71
_cell_angle_beta 90.00
_cell_angle_gamma 103.39
_symmetry_space_group_name_H-M 'P 1'
_symmetry_Int_Tables_number 1
_symmetry_space_group_name_Hall 'P 1'
loop_
_atom_site_label
_atom_site_type_symbol
_atom_site_fract_x
_atom_site_fract_y
_atom_site_fract_z
Rb1 Rb 0.890 0.780 0.551
Rb2 Rb 0.110 0.220 0.449
Na1 Na 0.311 0.621 0.111
Na2 Na 0.689 0.379 0.889
Pa1 Pa 0.000 0.000 0.000
O1 O 0.867 0.734 0.951
O2 O 0.133 0.266 0.049
O3 O 0.473 0.946 0.200
O4 O 0.527 0.054 0.800
```

Properties
Space group: C2/m (12)

A relaxed Rb2NaPa2O7 crystal, computed with PBE.

The structure in CIF format:
```
data_Rb2NaPa2O7
_cell_length_a 4.393
_cell_length_b 4.393
_cell_length_c 11.903
_cell_angle_alpha 79.38
_cell_angle_beta 79.38
_cell_angle_gamma 90.00
_symmetry_space_group_name_H-M 'P 1'
_symmetry_Int_Tables_number 1
_symmetry_space_group_name_Hall 'P 1'
loop_
_atom_site_label
_atom_site_type_symbol
_atom_site_fract_x
_atom_site_fract_y
_atom_site_fract_z
Rb1 Rb 0.809 0.809 0.383
Rb2 Rb 0.191 0.191 0.617
Na1 Na 0.000 0.000 0.000
Pa1 Pa 0.594 0.594 0.813
Pa2 Pa 0.406 0.406 0.187
O1 O 0.500 0.500 0.000
O2 O 0.318 0.318 0.365
O3 O 0.682 0.682 0.635
O4 O 0.910 0.410 0.180
O5 O 0.410 0.910 0.180
O6 O 0.590 0.090 0.820
O7 O 0.090 0.590 0.820
```

Properties
Space group: I4/mmm (139)

A relaxed Rb2NaPaO4 crystal, computed with PBE.

The structure in CIF format:
```
data_Rb2NaPaO4
_cell_length_a 3.651
_cell_length_b 6.139
_cell_length_c 6.830
_cell_angle_alpha 107.62
_cell_angle_beta 90.00
_cell_angle_gamma 90.00
_symmetry_space_group_name_H-M 'P 1'
_symmetry_Int_Tables_number 1
_symmetry_space_group_name_Hall 'P 1'
loop_
_atom_site_label
_atom_site_type_symbol
_atom_site_fract_x
_atom_site_fract_y
_atom_site_fract_z
Rb1 Rb 0.500 0.000 0.500
Rb2 Rb 0.000 0.500 0.500
Na1 Na 0.500 0.500 0.000
Pa1 Pa 0.000 0.000 0.000
O1 O 0.500 0.198 0.179
O2 O 0.500 0.802 0.821
O3 O 0.000 0.215 0.819
O4 O 0.000 0.785 0.181
```

Properties
Space group: P2/m (10)

A relaxed Rb4NaPa3O12 crystal, computed with PBE.

The structure in CIF format:
```
data_Rb4NaPa3O12
_cell_length_a 7.742
_cell_length_b 7.742
_cell_length_c 7.742
_cell_angle_alpha 109.47
_cell_angle_beta 109.47
_cell_angle_gamma 109.47
_symmetry_space_group_name_H-M 'P 1'
_symmetry_Int_Tables_number 1
_symmetry_space_group_name_Hall 'P 1'
loop_
_atom_site_label
_atom_site_type_symbol
_atom_site_fract_x
_atom_site_fract_y
_atom_site_fract_z
Rb1 Rb 0.500 0.500 0.500
Rb2 Rb 0.000 0.000 0.500
Rb3 Rb 0.500 0.000 0.000
Rb4 Rb 0.000 0.500 0.000
Na1 Na 0.000 0.000 0.000
Pa1 Pa 0.500 0.000 0.500
Pa2 Pa 0.500 0.500 0.000
Pa3 Pa 0.000 0.500 0.500
O1 O 0.250 0.500 0.750
O2 O 0.721 0.000 0.721
O3 O 0.279 0.000 0.279
O4 O 0.750 0.500 0.250
O5 O 0.721 0.721 0.000
O6 O 0.279 0.279 0.000
O7 O 0.750 0.250 0.500
O8 O 0.250 0.750 0.500
O9 O 0.500 0.250 0.750
O10 O 0.000 0.721 0.721
O11 O 0.500 0.750 0.250
O12 O 0.000 0.279 0.279
```

Properties
Space group: Im-3m (229)

Going through the records in order, we get energy values of -6.07; -6.63; -6.91; -6.34; -9.47; -7.76; -5.85; -7.45; -6.50; -7.10 eV per atom.
Going through the records in order, we get raw formation energy values of -1.0821; -1.8781; -1.7297; -1.1270; -2.8794; -2.2513; -2.0850; -2.7038; -2.4287; -2.4380 eV per atom.